# LiCoCl3

A relaxed LiCoCl3 crystal (GGA-PBE, Alexandria).

The structure in POSCAR format:
```
LiCoCl3
1.0
4.769 0.000 0.000
0.000 4.769 0.000
0.000 0.000 4.769
Li Co Cl
1 1 3
Direct
0.500 0.500 0.500 Li
0.000 0.000 0.000 Co
0.000 0.500 0.000 Cl
0.000 0.000 0.500 Cl
0.500 0.000 0.000 Cl
```

Values from the calculation:
For the offset from the most stable computed form, the calculation gives 296 meV per atom. For the density of states at the Fermi level, the calculation gives 8.96 states/eV per cell. As for the total DFT energy (no corrections): -3.660 eV per atom. The value obtained for the formation energy without anion corrections is -0.75 eV/atom.

---

# AlZn2In

A relaxed AlZn2In crystal (GGA-PBE, Alexandria).

The structure in POSCAR format:
```
AlZn2In
1.0
-1.137 -3.767 0.695
1.590 -0.029 2.447
-3.791 2.126 5.325
Zn Al In
2 1 1
Direct
0.000 0.929 0.038 Zn
0.000 0.571 0.462 Zn
0.500 0.250 0.250 Al
0.500 0.750 0.750 In
```

Values from the calculation:
For the offset from the most stable computed form, the calculation gives 28 meV per atom. For the density of states at the Fermi level, the calculation gives 1.79 states/eV per cell. Its formation energy is 0.1127 eV per atom. As for the total DFT energy (no corrections): -2.144 eV per atom.

---

- total DFT energy (no corrections) of number 2 (AlZn2In)?
  -2.144 eV per atom

---

- Number 2 is which compound?
  AlZn2In

---

- What is the total DFT energy (no corrections) in the second record?
  -2.144 eV per atom

---

- Which of these has the highest offset from the most stable computed form?
  LiCoCl3